Computed, not measured: a relaxed KPtRh2 crystal at the GGA-PBE level of DFT.

Unit cell a=2.8634 b=2.8634 c=8.9839 alpha=90.00 beta=90.00 gamma=90.00
With the nearest neighbours (Å) after each atom.
Fractional coordinates of all 4 atoms:
1 K 0.0000 0.0000 0.0000  4 K 2.86
2 Pt 0.0000 0.0000 0.5000  8 Rh 2.70, 4 Pt 2.86
3 Rh 0.5000 0.5000 0.3013  4 Pt 2.70, 4 Rh 2.86
4 Rh 0.5000 0.5000 0.6987  4 Pt 2.70, 4 Rh 2.86

## Properties
The size of the total moment is 0.000 μB per cell. The calculation puts the energy above the most stable polymorph in this dataset at 121 meV per atom. For the energy relative to the elements, the calculation gives 407 meV per atom. Its density is 9.92 Mg/m³. As for the symmetry: P4/mmm (123).

---

Computed, not measured: a relaxed KPtRh2 crystal at the GGA-PBE level of DFT.

Unit cell a=4.9154 b=4.9154 c=4.9154 alpha=129.27 beta=129.27 gamma=74.58
With the nearest neighbours (Å) after each atom.
Fractional coordinates of all 4 atoms:
1 K 0.0000 0.0000 0.0000  8 Rh 2.87, 4 Pt 2.98
2 Pt 0.5000 0.5000 0.0000  8 Rh 2.87, 4 K 2.98
3 Rh 0.2500 0.7500 0.5000  4 Pt 2.87, 4 K 2.87, 4 Rh 2.98
4 Rh 0.7500 0.2500 0.5000  4 Pt 2.87, 4 K 2.87, 4 Rh 2.98

## Properties
The size of the total moment is 0.000 μB per cell. The calculation puts the energy above the most stable polymorph in this dataset at 477 meV per atom. For the energy relative to the elements, the calculation gives 763 meV per atom. Its density is 10.53 Mg/m³. As for the symmetry: I4/mmm (139).

---

Computed, not measured: a relaxed KPtRh2 crystal at the GGA-PBE level of DFT.

Unit cell a=6.0077 b=6.0077 c=6.0077 alpha=153.62 beta=129.84 gamma=57.55
With the nearest neighbours (Å) after each atom.
Fractional coordinates of all 4 atoms:
1 K 0.0000 0.0000 0.0000  2 K 2.74, 4 Pt 2.89
2 Pt 0.5000 0.5000 0.0000  4 Rh 2.67, 2 Pt 2.74, 4 K 2.89
3 Rh 0.2821 0.7821 0.5000  2 Pt 2.67, 6 Rh 2.74-2.97
4 Rh 0.7179 0.2179 0.5000  2 Pt 2.67, 6 Rh 2.74-2.97

## Properties
The size of the total moment is 0.558 μB per cell. The calculation puts the energy above the most stable polymorph in this dataset at 185 meV per atom. For the energy relative to the elements, the calculation gives 472 meV per atom. Its density is 9.94 Mg/m³. As for the symmetry: Immm (71).

---

Number 1: total DFT energy (no corrections) -0.1857 Ha/atom. Number 2: total DFT energy (no corrections) -0.1726 Ha/atom. Number 3: total DFT energy (no corrections) -0.1833 Ha/atom.